No. 1
Compound: Y2InCu
Source: Alexandria via LeMat-Bulk
Functional: PBE
Structure: relaxed

Cell lengths 7.9673, 7.9673, 6.6752 Å; angles 90.00, 90.00, 90.00 degrees
Space group I-42d (No. 122)
Inequivalent atoms, fractional coordinates:
Y 0.2084 0.7500 0.1250 (multiplicity 8)
In 0.0000 0.0000 0.5000 (multiplicity 4)
Cu 0.0000 0.0000 0.0000 (multiplicity 4)

## Properties
- ΔH_f (0 K): -0.01 eV/atom

No. 2
Compound: SrScCr3
Source: Alexandria via LeMat-Bulk
Functional: PBE
Structure: relaxed

Cell lengths 5.0089, 5.0089, 5.0089 Å; angles 90.00, 90.00, 90.00 degrees
Space group Pm-3m (No. 221)
Inequivalent atoms, fractional coordinates:
Sr 0.0000 0.0000 0.0000 (multiplicity 1)
Sc 0.5000 0.5000 0.5000 (multiplicity 1)
Cr 0.0000 0.0000 0.5000 (multiplicity 3)

## Properties
- ΔH_f (0 K): 2.00 eV/atom
- Distance to the lowest polymorph of the same formula: 369 kJ/mol of formula units

No. 3
Compound: Pr3TlFe
Source: Alexandria via LeMat-Bulk
Functional: PBE
Structure: relaxed

Cell lengths 5.2909, 5.2909, 5.2909 Å; angles 90.00, 90.00, 90.00 degrees
Space group Pm-3m (No. 221)
Inequivalent atoms, fractional coordinates:
Pr 0.0000 0.0000 0.5000 (multiplicity 3)
Tl 0.5000 0.5000 0.5000 (multiplicity 1)
Fe 0.0000 0.0000 0.0000 (multiplicity 1)

## Properties
- ΔH_f (0 K): 0.00 eV/atom

No. 4
Compound: Nd4Y5Ho
Source: Alexandria via LeMat-Bulk
Functional: PBE
Structure: relaxed

Cell lengths 17.3832, 3.5589, 11.2193 Å; angles 90.00, 90.15, 90.00 degrees
Space group C2/m (No. 12)
Inequivalent atoms, fractional coordinates:
Nd 0.0298 0.0000 0.2488 (multiplicity 4)
Nd 0.1544 0.5000 0.7499 (multiplicity 4)
Y 0.0000 0.5000 0.5000 (multiplicity 2)
Y 0.1736 0.0000 0.0544 (multiplicity 4)
Y 0.1743 0.0000 0.4435 (multiplicity 4)
Ho 0.0000 0.5000 0.0000 (multiplicity 2)

## Properties
- ΔH_f (0 K): 0.19 eV/atom
- Distance to the lowest polymorph of the same formula: 162 kJ/mol of formula units

> What is the formula in the fourth record?

Nd4Y5Ho